VASP calculation (PBE-GGA) on a geometry-optimized Te2PW structure.

Unit cell a=3.413 b=4.474 c=5.545 alpha=90.00 beta=90.00 gamma=90.00
Atoms (fractional coordinates):
Te 0.000 0.000 0.000
Te 0.500 0.500 0.500
W 0.500 0.500 0.000
P 0.000 0.000 0.500

Calculated values
For the total moment, the calculation gives 0.003 Bohr magnetons per cell. As for the space group: Pmmm (47). The volume comes out at 21.168 Å³/atom. As for the formation energy without anion corrections: 0.751 eV per atom.

VASP calculation (PBE-GGA) on a geometry-optimized Te2PW2 structure.

Unit cell a=6.222 b=6.222 c=6.222 alpha=136.03 beta=136.03 gamma=63.93
Atoms (fractional coordinates):
W 0.750 0.250 0.500
W 0.250 0.750 0.500
Te 0.367 0.367 0.000
Te 0.633 0.633 0.000
P 0.000 0.000 0.000

Calculated values
For the total moment, the calculation gives 0.000 Bohr magnetons per cell. As for the space group: I4/mmm (139). The volume comes out at 22.910 Å³/atom. As for the formation energy without anion corrections: 1.227 eV per atom.

VASP calculation (PBE-GGA) on a geometry-optimized Te2PW structure.

Unit cell a=9.885 b=9.885 c=9.885 alpha=18.72 beta=18.72 gamma=18.72
Atoms (fractional coordinates):
Te 0.092 0.092 0.092
Te 0.908 0.908 0.908
W 0.000 0.000 0.000
P 0.500 0.500 0.500

Calculated values
For the total moment, the calculation gives 0.000 Bohr magnetons per cell. As for the space group: R-3m (166). The volume comes out at 21.732 Å³/atom. As for the formation energy without anion corrections: 1.147 eV per atom.

VASP calculation (PBE-GGA) on a geometry-optimized Te2PW structure.

Unit cell a=8.662 b=8.662 c=8.662 alpha=22.78 beta=22.78 gamma=22.78
Atoms (fractional coordinates):
P 0.000 0.000 0.000
Te 0.756 0.756 0.756
Te 0.244 0.244 0.244
W 0.500 0.500 0.500

Calculated values
For the total moment, the calculation gives 0.000 Bohr magnetons per cell. As for the space group: R-3m (166). The volume comes out at 21.366 Å³/atom. As for the formation energy without anion corrections: 0.561 eV per atom.

VASP calculation (PBE-GGA) on a geometry-optimized Te2PW structure.

Unit cell a=4.930 b=4.930 c=3.289 alpha=90.00 beta=90.00 gamma=90.00
Atoms (fractional coordinates):
P 0.000 0.000 0.500
W 0.500 0.500 0.500
Te 0.000 0.500 0.000
Te 0.500 0.000 0.000

Calculated values
For the total moment, the calculation gives 0.291 Bohr magnetons per cell. As for the space group: P4/mmm (123). The volume comes out at 19.984 Å³/atom. As for the formation energy without anion corrections: 0.951 eV per atom.

VASP calculation (PBE-GGA) on a geometry-optimized Te2PW structure.

Unit cell a=3.371 b=3.371 c=7.041 alpha=90.00 beta=90.00 gamma=90.00
Atoms (fractional coordinates):
P 0.500 0.500 0.500
W 0.500 0.500 0.000
Te 0.000 0.000 0.236
Te 0.000 0.000 0.764

Calculated values
For the total moment, the calculation gives 0.000 Bohr magnetons per cell. As for the space group: P4/mmm (123). The volume comes out at 20.004 Å³/atom. As for the formation energy without anion corrections: 0.646 eV per atom.